SrCd3Pb9: optimized geometry, PBE.

abc: 6.0743 8.5582 8.7583
angles: 83.67 69.71 71.46
Closest atoms and distances in Å follow each position.
Sites, in units of the cell vectors:
Sr (0.0000, 0.0000, 0.0000)  14 Pb 3.88-4.28
Cd (0.5000, 0.5000, 0.0000)  6 Pb 3.04-3.26
Cd (0.0000, 0.0000, 0.5000)  2 Cd 3.04, 6 Pb 3.25-3.37
Cd (0.5000, 0.0000, 0.5000)  2 Cd 3.04, 6 Pb 3.25-3.37
Pb (0.7038, 0.7918, 0.7851)  3 Cd 3.25-3.27, 5 Pb 3.38-3.53
Pb (0.2962, 0.2082, 0.2149)  3 Cd 3.25-3.27, 5 Pb 3.38-3.53
Pb (0.5111, 0.2082, 0.7851)  3 Cd 3.25-3.27, 5 Pb 3.38-3.53
Pb (0.4889, 0.7918, 0.2149)  3 Cd 3.25-3.27, 5 Pb 3.38-3.53
Pb (0.6544, 0.3469, 0.3608)  3 Cd 3.37-3.60, 6 Pb 3.38-3.77
Pb (0.3456, 0.6531, 0.6392)  3 Cd 3.37-3.60, 6 Pb 3.38-3.77
Pb (0.9848, 0.6531, 0.3608)  3 Cd 3.37-3.60, 6 Pb 3.38-3.77
Pb (0.0152, 0.3469, 0.6392)  3 Cd 3.37-3.60, 6 Pb 3.38-3.77
Pb (0.0000, 0.5000, 0.0000)  2 Cd 3.04, 4 Pb 3.39

Values from the calculation:
The space-group type is C2/m. As for the formation energy: -1.29 kcal/mol of atoms.

Sr6Cd23Pb: optimized geometry, PBE.

abc: 10.3753 10.3753 10.3753
angles: 60.00 60.00 60.00
Closest atoms and distances in Å follow each position.
Sites, in units of the cell vectors:
Sr (0.7237, 0.7237, 0.2763)  1 Pb 3.28, 8 Cd 3.42-3.52
Sr (0.2763, 0.2763, 0.7237)  1 Pb 3.28, 8 Cd 3.42-3.52
Sr (0.7237, 0.2763, 0.2763)  1 Pb 3.28, 8 Cd 3.42-3.52
Sr (0.2763, 0.7237, 0.7237)  1 Pb 3.28, 8 Cd 3.42-3.52
Sr (0.7237, 0.2763, 0.7237)  1 Pb 3.28, 8 Cd 3.42-3.52
Sr (0.2763, 0.7237, 0.2763)  1 Pb 3.28, 8 Cd 3.42-3.52
Cd (0.6240, 0.1253, 0.1253)  7 Cd 3.17-3.19, 3 Sr 3.42
Cd (0.3760, 0.8747, 0.8747)  7 Cd 3.17-3.19, 3 Sr 3.42
Cd (0.1253, 0.1253, 0.6240)  7 Cd 3.17-3.19, 3 Sr 3.42
Cd (0.1253, 0.1253, 0.1253)  7 Cd 3.17-3.19, 3 Sr 3.42
Cd (0.8747, 0.8747, 0.3760)  7 Cd 3.17-3.19, 3 Sr 3.42
Cd (0.8747, 0.8747, 0.8747)  7 Cd 3.17-3.19, 3 Sr 3.42
Cd (0.1253, 0.6240, 0.1253)  7 Cd 3.17-3.19, 3 Sr 3.42
Cd (0.8747, 0.3760, 0.8747)  7 Cd 3.17-3.19, 3 Sr 3.42
Cd (0.5000, 0.5000, 0.0000)  8 Cd 3.00-3.17
Cd (0.0000, 0.0000, 0.5000)  8 Cd 3.00-3.17
Cd (0.5000, 0.0000, 0.0000)  8 Cd 3.00-3.17
Cd (0.0000, 0.5000, 0.5000)  8 Cd 3.00-3.17
Cd (0.5000, 0.0000, 0.5000)  8 Cd 3.00-3.17
Cd (0.0000, 0.5000, 0.0000)  8 Cd 3.00-3.17
Cd (0.9935, 0.3355, 0.3355)  6 Cd 3.00-3.19
Cd (0.0065, 0.6645, 0.6645)  6 Cd 3.00-3.19
Cd (0.3355, 0.3355, 0.9935)  6 Cd 3.00-3.19
Cd (0.3355, 0.3355, 0.3355)  6 Cd 3.00-3.19
Cd (0.6645, 0.6645, 0.0065)  6 Cd 3.00-3.19
Cd (0.6645, 0.6645, 0.6645)  6 Cd 3.00-3.19
Cd (0.3355, 0.9935, 0.3355)  6 Cd 3.00-3.19
Cd (0.6645, 0.0065, 0.6645)  6 Cd 3.00-3.19
Cd (0.0000, 0.0000, 0.0000)  8 Cd 3.18
Pb (0.5000, 0.5000, 0.5000)  6 Sr 3.28

Values from the calculation:
The space-group type is Fm-3m. As for the formation energy: -5.57 kcal/mol of atoms.

SrCd6Pb2: optimized geometry, PBE.

abc: 4.6296 4.6296 11.3401
angles: 90.00 90.00 90.00
Closest atoms and distances in Å follow each position.
Sites, in units of the cell vectors:
Sr (0.0000, 0.0000, 0.0000)  8 Pb 3.63
Cd (0.0000, 0.5000, 0.3158)  2 Pb 3.07, 8 Cd 3.12-3.27
Cd (0.5000, 0.0000, 0.3158)  2 Pb 3.07, 8 Cd 3.12-3.27
Cd (0.0000, 0.5000, 0.6842)  2 Pb 3.07, 8 Cd 3.12-3.27
Cd (0.5000, 0.0000, 0.6842)  2 Pb 3.07, 8 Cd 3.12-3.27
Cd (0.5000, 0.5000, 0.5000)  12 Cd 3.12-3.27
Cd (0.0000, 0.0000, 0.5000)  12 Cd 3.12-3.27
Pb (0.5000, 0.5000, 0.1375)  4 Cd 3.07, 1 Pb 3.12
Pb (0.5000, 0.5000, 0.8625)  4 Cd 3.07, 1 Pb 3.12

Values from the calculation:
The space-group type is P4/mmm. As for the formation energy: -2.45 kcal/mol of atoms.

Sr5CdPb4: optimized geometry, PBE.

abc: 3.9262 3.9262 22.3612
angles: 90.00 90.00 90.00
Closest atoms and distances in Å follow each position.
Sites, in units of the cell vectors:
Sr (0.5000, 0.5000, 0.0939)  4 Cd 3.48, 4 Pb 3.53
Sr (0.5000, 0.5000, 0.2948)  8 Pb 3.60-3.61, 4 Sr 3.93
Sr (0.5000, 0.5000, 0.5000)  8 Pb 3.60, 4 Sr 3.93
Sr (0.5000, 0.5000, 0.7052)  8 Pb 3.60-3.61, 4 Sr 3.93
Sr (0.5000, 0.5000, 0.9061)  4 Cd 3.48, 4 Pb 3.53
Cd (0.0000, 0.0000, 0.0000)  8 Sr 3.48
Pb (0.0000, 0.0000, 0.1915)  8 Sr 3.53-3.61, 4 Pb 3.93
Pb (0.0000, 0.0000, 0.3974)  8 Sr 3.60, 4 Pb 3.93
Pb (0.0000, 0.0000, 0.6026)  8 Sr 3.60, 4 Pb 3.93
Pb (0.0000, 0.0000, 0.8085)  8 Sr 3.53-3.61, 4 Pb 3.93

Values from the calculation:
The space-group type is P4/mmm. As for the formation energy: -11.53 kcal/mol of atoms.

Sr3Cd4Pb2: optimized geometry, PBE.

abc: 5.1544 6.4651 9.9195
angles: 112.28 90.00 113.49
Closest atoms and distances in Å follow each position.
Sites, in units of the cell vectors:
Sr (0.6635, 0.3270, 0.6720)  8 Cd 3.40-3.71, 4 Pb 3.53-3.73
Sr (0.0000, 0.0000, 0.0000)  8 Cd 3.52-3.85, 4 Pb 3.59
Sr (0.3365, 0.6730, 0.3280)  8 Cd 3.40-3.71, 4 Pb 3.53-3.73
Cd (0.7120, 0.4240, 0.0347)  2 Cd 2.90, 1 Pb 3.06
Cd (0.2880, 0.5760, 0.9653)  2 Cd 2.90, 1 Pb 3.06
Cd (0.9233, 0.8466, 0.5833)  1 Cd 2.92, 2 Pb 3.05
Cd (0.0767, 0.1534, 0.4167)  1 Cd 2.92, 2 Pb 3.05
Pb (0.6132, 0.2265, 0.2751)  3 Cd 3.05-3.06
Pb (0.3868, 0.7735, 0.7249)  3 Cd 3.05-3.06

Values from the calculation:
The space-group type is C2/m. As for the formation energy: -9.34 kcal/mol of atoms.

Sr5Cd2Pb5: optimized geometry, PBE.

abc: 5.0637 9.5021 9.6040
angles: 102.47 74.71 74.55
Closest atoms and distances in Å follow each position.
Sites, in units of the cell vectors:
Sr (0.0000, 0.5000, 0.5000)  4 Pb 3.33, 4 Cd 3.44
Sr (0.6954, 0.6637, 0.9455)  7 Pb 3.55-3.90, 1 Cd 3.64, 1 Sr 3.93
Sr (0.3067, 0.0454, 0.3412)  5 Pb 3.48-3.79, 1 Cd 3.67
Sr (0.6933, 0.9546, 0.6588)  5 Pb 3.48-3.79, 1 Cd 3.67
Sr (0.3046, 0.3363, 0.0545)  7 Pb 3.55-3.90, 1 Cd 3.64, 1 Sr 3.93
Cd (0.4864, 0.3580, 0.6692)  4 Pb 3.03-3.23
Cd (0.5136, 0.6420, 0.3308)  4 Pb 3.03-3.23
Pb (0.6998, 0.2936, 0.3067)  2 Cd 3.13-3.23, 1 Pb 3.26, 4 Sr 3.33-3.48
Pb (0.9992, 0.2343, 0.7673)  2 Cd 3.03
Pb (0.0008, 0.7657, 0.2327)  2 Cd 3.03
Pb (0.3002, 0.7064, 0.6933)  2 Cd 3.13-3.23, 1 Pb 3.26, 4 Sr 3.33-3.48
Pb (0.0000, 0.0000, 0.0000)  4 Pb 3.26-3.48

Values from the calculation:
The space-group type is C2/m. As for the formation energy: -10.78 kcal/mol of atoms.

Sr4CdPb: optimized geometry, PBE.

abc: 7.2034 7.2034 7.2034
angles: 60.00 60.00 60.00
Closest atoms and distances in Å follow each position.
Sites, in units of the cell vectors:
Sr (0.8768, 0.3744, 0.3744)  6 Sr 3.58-3.62
Sr (0.3744, 0.3744, 0.8768)  6 Sr 3.58-3.62
Sr (0.3744, 0.8768, 0.3744)  6 Sr 3.58-3.62
Sr (0.3744, 0.3744, 0.3744)  6 Sr 3.58-3.62
Cd (0.7500, 0.7500, 0.7500)  12 Sr 4.23, 4 Pb 4.41
Pb (0.0000, 0.0000, 0.0000)  12 Sr 4.22, 4 Cd 4.41

Values from the calculation:
The space-group type is F-43m. As for the formation energy: 6.07 kcal/mol of atoms. The distance to the lowest polymorph of the same formula comes out at 543 meV/atom.

SrCdPb2: optimized geometry, PBE.

abc: 6.1511 6.1511 6.1511
angles: 132.55 132.37 69.50
Closest atoms and distances in Å follow each position.
Sites, in units of the cell vectors:
Cd (0.2500, 0.7500, 0.5000)  4 Sr 3.51, 8 Pb 3.53-3.55
Pb (0.0006, 0.0006, 0.0000)  4 Pb 3.51, 4 Cd 3.53-3.55, 4 Sr 3.54
Pb (0.4994, 0.4994, 0.0000)  4 Pb 3.51, 4 Cd 3.53-3.55, 4 Sr 3.54
Sr (0.7500, 0.2500, 0.5000)  4 Cd 3.51, 8 Pb 3.54

Values from the calculation:
The space-group type is Immm. As for the formation energy: -5.80 kcal/mol of atoms.

SrCdPb2: optimized geometry, PBE.

abc: 5.1761 3.7343 6.6215
angles: 83.99 90.00 90.00
Closest atoms and distances in Å follow each position.
Sites, in units of the cell vectors:
Cd (0.5000, 0.7500, 0.7500)  4 Pb 3.12
Pb (0.0000, 0.8805, 0.9945)  2 Cd 3.12, 2 Pb 3.42-3.48, 2 Sr 3.46
Pb (0.0000, 0.6195, 0.5055)  2 Cd 3.12, 2 Pb 3.42-3.48, 2 Sr 3.46
Sr (0.5000, 0.2500, 0.2500)  8 Pb 3.46-3.78, 2 Cd 3.63, 2 Sr 3.73

Values from the calculation:
The space-group type is P2/m. As for the formation energy: -4.91 kcal/mol of atoms.

SrCdPb2: optimized geometry, PBE.

abc: 6.1742 6.1742 6.1742
angles: 133.16 133.16 68.40
Closest atoms and distances in Å follow each position.
Sites, in units of the cell vectors:
Cd (0.7500, 0.2500, 0.5000)  8 Pb 3.47-3.54, 4 Sr 3.54
Pb (0.0000, 0.0000, 0.0000)  4 Sr 3.47, 4 Cd 3.54, 4 Pb 3.54
Pb (0.2500, 0.7500, 0.5000)  4 Cd 3.47, 4 Pb 3.54, 4 Sr 3.54
Sr (0.5000, 0.5000, 0.0000)  8 Pb 3.47-3.54, 4 Cd 3.54

Values from the calculation:
The space-group type is I-4m2. As for the formation energy: -6.31 kcal/mol of atoms.

SrCd2Pb: optimized geometry, PBE.

abc: 4.9761 6.4896 5.1226
angles: 129.30 90.00 90.00
Closest atoms and distances in Å follow each position.
Sites, in units of the cell vectors:
Sr (0.5000, 0.7844, 0.5688)  4 Cd 3.25-3.40, 2 Pb 3.45
Cd (0.0000, 0.0774, 0.1547)  2 Cd 2.87, 1 Pb 3.21
Cd (0.5000, 0.2585, 0.5169)  2 Cd 2.87, 2 Pb 3.06
Pb (0.0000, 0.4828, 0.9656)  5 Cd 3.06-3.33

Values from the calculation:
The space-group type is Amm2. As for the formation energy: -3.02 kcal/mol of atoms.

SrCd2Pb: optimized geometry, PBE.

abc: 4.9062 4.9062 11.5759
angles: 77.77 77.77 90.00
Closest atoms and distances in Å follow each position.
Sites, in units of the cell vectors:
Pb (0.0000, 0.0000, 0.0000)  4 Cd 3.15, 4 Sr 3.47
Pb (0.7500, 0.2500, 0.5000)  4 Cd 3.15, 4 Sr 3.47
Sr (0.5000, 0.5000, 0.0000)  4 Cd 3.39, 4 Pb 3.47
Sr (0.2500, 0.7500, 0.5000)  4 Cd 3.39, 4 Pb 3.47
Cd (0.6903, 0.1250, 0.2500)  2 Cd 3.05, 2 Pb 3.15, 2 Sr 3.39
Cd (0.0597, 0.6250, 0.2500)  2 Cd 3.05, 2 Pb 3.15, 2 Sr 3.39
Cd (0.3750, 0.3097, 0.7500)  2 Cd 3.05, 2 Pb 3.15, 2 Sr 3.39
Cd (0.8750, 0.9403, 0.7500)  2 Cd 3.05, 2 Pb 3.15, 2 Sr 3.39

Values from the calculation:
The space-group type is I-42d. As for the formation energy: -2.27 kcal/mol of atoms.